This record from Alexandria via LeMat-Bulk describes a relaxed structure of BeHgPd2. The functional is PBE.

Structure (POSCAR):
```
BeHgPd2
1.0
3.8781 0.0000 0.0000
0.0000 3.8781 0.0000
1.9390 1.9390 8.9630
Pd Hg Be
4 2 2
direct
0.1471 0.6250 0.2500 Pd
0.6029 0.1250 0.2500 Pd
0.3750 0.3971 0.7500 Pd
0.8750 0.8529 0.7500 Pd
0.0000 0.0000 0.0000 Hg
0.7500 0.2500 0.5000 Hg
0.2500 0.7500 0.5000 Be
0.5000 0.5000 0.0000 Be
```

The calculation puts the energy above the lowest structure with this stoichiometry at 0.578 eV per atom. As for the space-group type: I-42d (122). As for the density of states at the Fermi level: 1.84 states/eV/f.u.



This record from Alexandria via LeMat-Bulk describes a relaxed structure of BaMgBe. The functional is PBE.

Structure (POSCAR):
```
BaMgBe
1.0
6.7932 -0.0634 0.0689
5.8805 3.4028 0.0683
0.9131 0.2415 3.4576
Ba Be Mg
1 1 1
direct
0.9863 0.9859 0.0137 Ba
0.2993 0.2995 0.7007 Be
0.7144 0.7146 0.2856 Mg
```

The calculation puts the energy above the lowest structure with this stoichiometry at 0.223 eV per atom. As for the space-group type: I4mm (107). As for the density of states at the Fermi level: 2.35 states/eV/f.u.



This record from Alexandria via LeMat-Bulk describes a relaxed structure of HfSnPd5. The functional is PBE.

Structure (POSCAR):
```
HfSnPd5
1.0
-3.8221 5.1684 0.8735
-2.4968 -2.6856 -5.3514
-6.5919 -2.2555 1.4425
Hf Pd Sn
2 10 2
direct
0.5432 0.4568 0.2500 Hf
0.4568 0.5432 0.7500 Hf
0.5253 0.2004 0.6485 Pd
0.3578 0.1293 0.1035 Pd
0.1293 0.3578 0.6035 Pd
0.8022 0.1978 0.2500 Pd
0.7996 0.4747 0.8515 Pd
0.2004 0.5253 0.1485 Pd
0.1978 0.8022 0.7500 Pd
0.6422 0.8707 0.8965 Pd
0.4747 0.7996 0.3515 Pd
0.8707 0.6422 0.3965 Pd
0.0000 0.0000 0.5000 Sn
0.0000 0.0000 0.0000 Sn
```

The calculation puts the energy above the lowest structure with this stoichiometry at 0.010 eV per atom. As for the space-group type: C2/c (15). As for the density of states at the Fermi level: 2.81 states/eV/f.u.



This record from Alexandria via LeMat-Bulk describes a relaxed structure of Zr2NiP. The functional is PBE.

Structure (POSCAR):
```
Zr2NiP
1.0
-6.9046 -0.9552 0.1071
0.2744 -1.2148 6.8590
-3.7107 1.8343 4.0159
P Ni Zr
2 2 4
direct
0.5000 0.5000 0.0000 P
0.2500 0.7500 0.5000 P
0.0000 0.0000 0.0000 Ni
0.7500 0.2500 0.5000 Ni
0.8750 0.8799 0.7500 Zr
0.1201 0.6250 0.2500 Zr
0.6299 0.1250 0.2500 Zr
0.3750 0.3701 0.7500 Zr
```

For the raw total energy, the calculation gives -29.98 eV per formula unit. As for the space-group type: I-42d (122). As for the density of states at the Fermi level: 3.49 states/eV/f.u.